Below is an optimized crystal structure of CaPmAlZn, with properties calculated at the PBE level.

a = 3.6305 Å, b = 3.6305 Å, c = 7.6439 Å
α = 90.00°, β = 90.00°, γ = 90.00°
Element x y z (fractional)
Ca 0.0000 0.0000 0.0000
Pm 0.0000 0.0000 0.5074
Al 0.5000 0.5000 0.2565
Zn 0.5000 0.5000 0.7546

Values from the calculation:
Calculated volume in Å³/atom: 25.19
Distance to the lowest polymorph of the same formula in kJ per mole of atoms: 1.5


Below is an optimized crystal structure of SmGd2Zr, with properties calculated at the PBE level.

a = 3.4422 Å, b = 3.4422 Å, c = 10.0587 Å
α = 90.00°, β = 90.00°, γ = 90.00°
Element x y z (fractional)
Sm 0.0000 0.0000 0.0000
Gd 0.5000 0.5000 0.2711
Gd 0.5000 0.5000 0.7289
Zr 0.0000 0.0000 0.5000

Values from the calculation:
Calculated volume in Å³/atom: 29.79
Distance to the lowest polymorph of the same formula in kJ per mole of atoms: 0.0


Below is an optimized crystal structure of TbSc2TcN4, with properties calculated at the PBE level.

a = 5.8180 Å, b = 5.8180 Å, c = 11.0087 Å
α = 90.00°, β = 90.00°, γ = 147.18°
Element x y z (fractional)
Tb 0.1299 0.8701 0.7500
Tb 0.8701 0.1299 0.2500
Sc 0.3686 0.6314 0.5366
Sc 0.3686 0.6314 0.9634
Sc 0.6314 0.3686 0.0366
Sc 0.6314 0.3686 0.4634
Tc 0.1320 0.8680 0.2500
Tc 0.8680 0.1320 0.7500
N 0.0000 0.0000 0.0000
N 0.0000 0.0000 0.5000
N 0.2597 0.7403 0.1214
N 0.2597 0.7403 0.3786
N 0.4605 0.5395 0.7500
N 0.5395 0.4605 0.2500
N 0.7403 0.2597 0.6214
N 0.7403 0.2597 0.8786

Values from the calculation:
Calculated volume in Å³/atom: 12.62
ΔE_f (raw) in eV per atom: -1.181


Below is an optimized crystal structure of Ni2OsSe, with properties calculated at the PBE level.

a = 5.5337 Å, b = 5.5337 Å, c = 5.5337 Å
α = 149.70°, β = 138.57°, γ = 52.18°
Element x y z (fractional)
Ni 0.0000 0.0000 0.0000
Ni 0.6634 0.1634 0.5000
Os 0.2363 0.7363 0.5000
Se 0.4373 0.4373 0.0000

Values from the calculation:
Calculated volume in Å³/atom: 14.07
ΔE_f (raw) in eV per atom: 0.396


Below is an optimized crystal structure of K3Tl3FeI8, with properties calculated at the PBE level.

a = 9.9485 Å, b = 9.9485 Å, c = 9.9335 Å
α = 119.90°, β = 119.90°, γ = 60.16°
Element x y z (fractional)
K 0.0000 0.0000 0.0000
K 0.0000 0.5000 0.5000
K 0.5000 0.0000 0.5000
Tl 0.0000 0.5000 0.0000
Tl 0.5000 0.0000 0.0000
Tl 0.5000 0.5000 0.5000
Fe 0.5000 0.5000 0.0000
I 0.2493 0.2493 0.2507
I 0.2935 0.7050 0.2061
I 0.2936 0.2936 0.7952
I 0.2950 0.7065 0.7939
I 0.7050 0.2935 0.2061
I 0.7064 0.7064 0.2048
I 0.7065 0.2950 0.7939
I 0.7507 0.7507 0.7493

Values from the calculation:
Calculated volume in Å³/atom: 46.47
ΔE_f (raw) in eV per atom: -0.844


Below is an optimized crystal structure of Ac6Ni4Pb, with properties calculated at the PBE level.

a = 7.5165 Å, b = 7.5165 Å, c = 21.9857 Å
α = 90.00°, β = 90.00°, γ = 146.35°
Element x y z (fractional)
Ac 0.0000 0.0000 0.0000
Ac 0.0000 0.0000 0.5000
Ac 0.1592 0.8408 0.7500
Ac 0.2667 0.7333 0.0836
Ac 0.2667 0.7333 0.4164
Ac 0.4645 0.5355 0.6524
Ac 0.4645 0.5355 0.8476
Ac 0.5355 0.4645 0.1524
Ac 0.5355 0.4645 0.3476
Ac 0.7333 0.2667 0.5836
Ac 0.7333 0.2667 0.9164
Ac 0.8408 0.1592 0.2500
Ni 0.0987 0.9013 0.6212
Ni 0.0987 0.9013 0.8788
Ni 0.3635 0.6365 0.5393
Ni 0.3635 0.6365 0.9607
Ni 0.6365 0.3635 0.0393
Ni 0.6365 0.3635 0.4607
Ni 0.9013 0.0987 0.1212
Ni 0.9013 0.0987 0.3788
Pb 0.1556 0.8444 0.2500
Pb 0.8444 0.1556 0.7500

Values from the calculation:
Calculated volume in Å³/atom: 31.29
Total energy in eV for the cell shown: -108.53


Below is an optimized crystal structure of Dy3Y4Er3, with properties calculated at the PBE level.

a = 3.6945 Å, b = 9.2977 Å, c = 9.2977 Å
α = 89.96°, β = 90.00°, γ = 90.00°
Element x y z (fractional)
Dy 0.0000 0.0000 0.0000
Dy 0.0000 0.4997 0.8431
Dy 0.0000 0.8431 0.4997
Y 0.5000 0.0450 0.2992
Y 0.5000 0.2992 0.0450
Y 0.5000 0.5441 0.5441
Y 0.5000 0.7989 0.7989
Er 0.0000 0.3435 0.3435
Er 0.5000 0.1722 0.6704
Er 0.5000 0.6704 0.1722

Values from the calculation:
Calculated volume in Å³/atom: 31.94
Total energy in eV for the cell shown: -52.25


Below is an optimized crystal structure of AcHoTl2Se4, with properties calculated at the PBE level.

a = 7.5874 Å, b = 4.3706 Å, c = 8.1435 Å
α = 90.00°, β = 107.95°, γ = 90.00°
Element x y z (fractional)
Ac 0.0000 0.0000 0.0000
Ho 0.5000 0.5000 0.0000
Tl 0.0000 0.5000 0.5000
Tl 0.5000 0.0000 0.5000
Se 0.2574 0.5000 0.2137
Se 0.2821 0.0000 0.7942
Se 0.7179 0.0000 0.2058
Se 0.7426 0.5000 0.7863

Values from the calculation:
Calculated volume in Å³/atom: 32.11
ΔE_f (raw) in eV per atom: -1.391


Below is an optimized crystal structure of Tm6Te3As2S, with properties calculated at the PBE level.

a = 9.3618 Å, b = 9.3618 Å, c = 8.3900 Å
α = 104.99°, β = 104.99°, γ = 25.34°
Element x y z (fractional)
Tm 0.0063 0.0063 0.2198
Tm 0.3264 0.3264 0.4371
Tm 0.3462 0.3462 0.9031
Tm 0.6538 0.6538 0.0969
Tm 0.6736 0.6736 0.5629
Tm 0.9937 0.9937 0.7802
Te 0.1681 0.1681 0.8338
Te 0.5000 0.5000 0.5000
Te 0.8319 0.8319 0.1662
As 0.1659 0.1659 0.3307
As 0.8341 0.8341 0.6693
S 0.5000 0.5000 0.0000

Values from the calculation:
Calculated volume in Å³/atom: 25.28
ΔE_f (raw) in eV per atom: -1.474


Below is an optimized crystal structure of SnPC3, with properties calculated at the PBE level.

a = 3.7753 Å, b = 3.7753 Å, c = 3.7753 Å
α = 90.00°, β = 90.00°, γ = 90.00°
Element x y z (fractional)
Sn 0.0000 0.0000 0.0000
P 0.5000 0.5000 0.5000
C 0.0000 0.5000 0.5000
C 0.5000 0.0000 0.5000
C 0.5000 0.5000 0.0000

Values from the calculation:
Calculated volume in Å³/atom: 10.76
Distance to the lowest polymorph of the same formula in kJ per mole of atoms: 0.0


Below is an optimized crystal structure of K3Pb4O8, with properties calculated at the PBE level.

a = 7.2350 Å, b = 7.2350 Å, c = 6.9620 Å
α = 118.10°, β = 118.10°, γ = 91.28°
Element x y z (fractional)
K 0.0000 0.0000 0.0000
K 0.0000 0.5000 0.0000
K 0.5000 0.0000 0.0000
Pb 0.0000 0.5000 0.5000
Pb 0.5000 0.0000 0.5000
Pb 0.5000 0.5000 0.0000
Pb 0.5000 0.5000 0.5000
O 0.2822 0.7178 0.0000
O 0.2850 0.2850 0.5330
O 0.2870 0.7130 0.5000
O 0.3170 0.3170 0.0701
O 0.6830 0.6830 0.9299
O 0.7130 0.2870 0.5000
O 0.7150 0.7150 0.4670
O 0.7178 0.2822 0.0000

Values from the calculation:
Calculated volume in Å³/atom: 17.95
ΔE_f (raw) in eV per atom: -1.062


Below is an optimized crystal structure of PuFeOs2, with properties calculated at the PBE level.

a = 3.9941 Å, b = 3.9941 Å, c = 3.9089 Å
α = 90.00°, β = 90.00°, γ = 90.00°
Element x y z (fractional)
Pu 0.0000 0.0000 0.0000
Fe 0.5000 0.5000 0.0000
Os 0.0000 0.5000 0.5000
Os 0.5000 0.0000 0.5000

Values from the calculation:
Calculated volume in Å³/atom: 15.59
Total energy in eV for the cell shown: -44.58


Below is an optimized crystal structure of Tb2NdNi2Ge2, with properties calculated at the PBE level.

a = 9.7907 Å, b = 9.7907 Å, c = 9.7907 Å
α = 25.25°, β = 25.25°, γ = 25.25°
Element x y z (fractional)
Tb 0.1240 0.1240 0.1240
Tb 0.8760 0.8760 0.8760
Nd 0.0000 0.0000 0.0000
Ni 0.4030 0.4030 0.4030
Ni 0.5970 0.5970 0.5970
Ge 0.2616 0.2616 0.2616
Ge 0.7384 0.7384 0.7384

Values from the calculation:
Calculated volume in Å³/atom: 21.46
Total energy in eV for the cell shown: -39.16


Below is an optimized crystal structure of Ac2LaHo2, with properties calculated at the PBE level.

a = 9.5467 Å, b = 9.5467 Å, c = 6.5374 Å
α = 106.25°, β = 106.25°, γ = 41.64°
Element x y z (fractional)
Ac 0.0421 0.3442 0.1963
Ac 0.3442 0.0421 0.6963
Ac 0.6558 0.9579 0.3037
Ac 0.9579 0.6558 0.8037
La 0.0796 0.9204 0.7500
La 0.9204 0.0796 0.2500
Ho 0.2976 0.5295 0.3382
Ho 0.4705 0.7024 0.1618
Ho 0.5295 0.2976 0.8382
Ho 0.7024 0.4705 0.6618

Values from the calculation:
Calculated volume in Å³/atom: 37.77
Total energy in eV for the cell shown: -43.72


Below is an optimized crystal structure of Be2PbSF, with properties calculated at the PBE level.

a = 4.7476 Å, b = 4.7476 Å, c = 5.2594 Å
α = 90.00°, β = 90.00°, γ = 90.00°
Element x y z (fractional)
Be 0.0000 0.5000 0.0000
Be 0.5000 0.0000 0.0000
Pb 0.0000 0.0000 0.0000
S 0.0000 0.0000 0.5000
F 0.5000 0.5000 0.5000

Values from the calculation:
Calculated volume in Å³/atom: 23.71
ΔE_f (raw) in eV per atom: 0.821


Below is an optimized crystal structure of Ca4CdBr, with properties calculated at the PBE level.

a = 6.9590 Å, b = 6.9590 Å, c = 6.9590 Å
α = 60.00°, β = 60.00°, γ = 60.00°
Element x y z (fractional)
Ca 0.1241 0.1241 0.1241
Ca 0.1241 0.1241 0.6278
Ca 0.1241 0.6278 0.1241
Ca 0.6278 0.1241 0.1241
Cd 0.7500 0.7500 0.7500
Br 0.5000 0.5000 0.5000

Values from the calculation:
Calculated volume in Å³/atom: 39.72
ΔE_f (raw) in eV per atom: 0.048


Below is an optimized crystal structure of Ac3InGa2Ag6, with properties calculated at the PBE level.

a = 6.3336 Å, b = 6.3336 Å, c = 9.0812 Å
α = 90.00°, β = 90.00°, γ = 120.00°
Element x y z (fractional)
Ac 0.0000 0.0000 0.0000
Ac 0.3333 0.6667 0.6287
Ac 0.6667 0.3333 0.3713
In 0.0000 0.0000 0.5000
Ga 0.3333 0.6667 0.0203
Ga 0.6667 0.3333 0.9797
Ag 0.1835 0.3669 0.2730
Ag 0.1835 0.8165 0.2730
Ag 0.3669 0.1835 0.7270
Ag 0.6331 0.8165 0.2730
Ag 0.8165 0.1835 0.7270
Ag 0.8165 0.6331 0.7270

Values from the calculation:
Calculated volume in Å³/atom: 26.29
Total energy in eV for the cell shown: -40.19


Below is an optimized crystal structure of Hf4Co3Os, with properties calculated at the PBE level.

a = 7.8034 Å, b = 7.8034 Å, c = 7.8034 Å
α = 33.66°, β = 33.66°, γ = 33.66°
Element x y z (fractional)
Hf 0.1235 0.1235 0.1235
Hf 0.3736 0.3736 0.3736
Hf 0.6264 0.6264 0.6264
Hf 0.8765 0.8765 0.8765
Co 0.0000 0.0000 0.0000
Co 0.2498 0.2498 0.2498
Co 0.7502 0.7502 0.7502
Os 0.5000 0.5000 0.5000

Values from the calculation:
Calculated volume in Å³/atom: 16.26
Total energy in eV for the cell shown: -76.11


Below is an optimized crystal structure of MnCr2Ag, with properties calculated at the PBE level.

a = 4.1941 Å, b = 4.1941 Å, c = 4.1941 Å
α = 60.00°, β = 60.00°, γ = 60.00°
Element x y z (fractional)
Mn 0.0000 0.0000 0.0000
Cr 0.2500 0.2500 0.2500
Cr 0.7500 0.7500 0.7500
Ag 0.5000 0.5000 0.5000

Values from the calculation:
Calculated volume in Å³/atom: 13.04
Distance to the lowest polymorph of the same formula in kJ per mole of atoms: 44.0


Below is an optimized crystal structure of CeTc3Ge2, with properties calculated at the PBE level.

a = 8.0203 Å, b = 8.0203 Å, c = 7.5457 Å
α = 117.32°, β = 117.32°, γ = 30.32°
Element x y z (fractional)
Ce 0.1413 0.1413 0.0573
Ce 0.8587 0.8587 0.9427
Tc 0.0467 0.0467 0.3995
Tc 0.2954 0.2954 0.5183
Tc 0.4118 0.4118 0.3481
Tc 0.5882 0.5882 0.6519
Tc 0.7046 0.7046 0.4817
Tc 0.9533 0.9533 0.6005
Ge 0.2025 0.2025 0.7341
Ge 0.4760 0.4760 0.8127
Ge 0.5240 0.5240 0.1873
Ge 0.7975 0.7975 0.2659

Values from the calculation:
Calculated volume in Å³/atom: 17.96
Total energy in eV for the cell shown: -97.20